# Mn4CdAs, relaxed, DFT PBE
data_Mn4CdAs
_symmetry_space_group_name_H-M 'F -4 3 m'
_symmetry_Int_Tables_number 216
_symmetry_space_group_name_Hall 'F -4 2 3'
_cell_length_a 6.9600
_cell_length_b 6.9600
_cell_length_c 6.9600
_cell_angle_alpha 90.00
_cell_angle_beta 90.00
_cell_angle_gamma 90.00
loop_
_atom_site_label
_atom_site_type_symbol
_atom_site_fract_x
_atom_site_fract_y
_atom_site_fract_z
Mn1 Mn 0.1250 0.1250 0.1250
Cd1 Cd 0.2500 0.2500 0.7500
As1 As 0.0000 0.0000 0.5000
# * ρ: 8.02 g/cm3
# * energy relative to the elements: 434 meV per atom
# * DFT total energy: -6.6070 eV per atom
# * total moment: 6.9 μB/f.u.


# ErSb12Ru4, relaxed, DFT PBE
data_ErSb12Ru4
_symmetry_space_group_name_H-M 'I m -3'
_symmetry_Int_Tables_number 204
_symmetry_space_group_name_Hall '-I 2 2 3'
_cell_length_a 9.3730
_cell_length_b 9.3730
_cell_length_c 9.3730
_cell_angle_alpha 90.00
_cell_angle_beta 90.00
_cell_angle_gamma 90.00
loop_
_atom_site_label
_atom_site_type_symbol
_atom_site_fract_x
_atom_site_fract_y
_atom_site_fract_z
Er1 Er 0.0000 0.0000 0.0000
Sb1 Sb 0.0000 0.3380 0.1571
Ru1 Ru 0.2500 0.2500 0.2500
# * ρ: 8.20 g/cm3
# * DFT total energy: -5.6303 eV per atom
# * total moment: 0.0 μB/f.u.


# EuB2Ir2, relaxed, DFT PBE
data_EuB2Ir2
_symmetry_space_group_name_H-M 'F d d d'
_symmetry_Int_Tables_number 70
_cell_length_a 6.0835
_cell_length_b 9.3832
_cell_length_c 10.7166
_cell_angle_alpha 90.00
_cell_angle_beta 90.00
_cell_angle_gamma 90.00
loop_
_symmetry_equiv_pos_as_xyz
'x,y,z'
'-x,-y,-z'
'-x+1/4,-y+1/4,z'
'x+1/4,y+1/4,-z'
'x,-y+1/4,-z+1/4'
'-x,y+1/4,z+1/4'
'-x+1/4,y,-z+1/4'
'x+1/4,-y,z+1/4'
'x,y+1/2,z+1/2'
'-x,-y+1/2,-z+1/2'
'-x+1/4,-y+3/4,z+1/2'
'x+1/4,y+3/4,-z+1/2'
'x,-y+3/4,-z+3/4'
'-x,y+3/4,z+3/4'
'-x+1/4,y+1/2,-z+3/4'
'x+1/4,-y+1/2,z+3/4'
'x+1/2,y,z+1/2'
'-x+1/2,-y,-z+1/2'
'-x+3/4,-y+1/4,z+1/2'
'x+3/4,y+1/4,-z+1/2'
'x+1/2,-y+1/4,-z+3/4'
'-x+1/2,y+1/4,z+3/4'
'-x+3/4,y,-z+3/4'
'x+3/4,-y,z+3/4'
'x+1/2,y+1/2,z'
'-x+1/2,-y+1/2,-z'
'-x+3/4,-y+3/4,z'
'x+3/4,y+3/4,-z'
'x+1/2,-y+3/4,-z+1/4'
'-x+1/2,y+3/4,z+1/4'
'-x+3/4,y+1/2,-z+1/4'
'x+3/4,-y+1/2,z+1/4'
loop_
_atom_site_label
_atom_site_type_symbol
_atom_site_fract_x
_atom_site_fract_y
_atom_site_fract_z
Eu1 Eu 0.1250 0.1250 0.1250
B1 B 0.1250 0.3020 0.6250
Ir1 Ir 0.1250 0.1250 0.4942
# * ρ: 12.12 g/cm3
# * energy relative to the elements: -673 meV per atom
# * DFT total energy: -8.9434 eV per atom
# * total moment: 6.9 μB/f.u.


# Sm2AgAuO5, relaxed, DFT PBE
data_Sm2AgAuO5
_symmetry_space_group_name_H-M 'P 4/m b m'
_symmetry_Int_Tables_number 127
_symmetry_space_group_name_Hall '-P 4 2ab'
_cell_length_a 6.7537
_cell_length_b 6.7537
_cell_length_c 5.8687
_cell_angle_alpha 90.00
_cell_angle_beta 90.00
_cell_angle_gamma 90.00
loop_
_atom_site_label
_atom_site_type_symbol
_atom_site_fract_x
_atom_site_fract_y
_atom_site_fract_z
Sm1 Sm 0.1767 0.3233 0.0000
Ag1 Ag 0.0000 0.0000 0.5000
Au1 Au 0.0000 0.5000 0.5000
O1 O 0.0000 0.0000 0.0000
O2 O 0.1350 0.6350 0.2395
# * ρ: 8.51 g/cm3
# * DFT total energy: -6.3326 eV per atom
# * total moment: 0.0 μB/f.u.


# Cr2FeAg, relaxed, DFT PBE
data_Cr2FeAg
_symmetry_space_group_name_H-M 'F m -3 m'
_symmetry_Int_Tables_number 225
_symmetry_space_group_name_Hall '-F 4 2 3'
_cell_length_a 5.9222
_cell_length_b 5.9222
_cell_length_c 5.9222
_cell_angle_alpha 90.00
_cell_angle_beta 90.00
_cell_angle_gamma 90.00
loop_
_atom_site_label
_atom_site_type_symbol
_atom_site_fract_x
_atom_site_fract_y
_atom_site_fract_z
Cr1 Cr 0.2500 0.2500 0.2500
Fe1 Fe 0.0000 0.0000 0.0000
Ag1 Ag 0.0000 0.0000 0.5000
# * ρ: 8.56 g/cm3
# * energy relative to the elements: 849 meV per atom
# * DFT total energy: -6.7912 eV per atom
# * E above lowest polymorph: 0.510 eV/atom
# * total moment: 0.0 μB/f.u.


# TbSm2Ho, relaxed, DFT PBE
data_TbSm2Ho
_symmetry_space_group_name_H-M 'F m -3 m'
_symmetry_Int_Tables_number 225
_symmetry_space_group_name_Hall '-F 4 2 3'
_cell_length_a 8.0754
_cell_length_b 8.0754
_cell_length_c 8.0754
_cell_angle_alpha 90.00
_cell_angle_beta 90.00
_cell_angle_gamma 90.00
loop_
_atom_site_label
_atom_site_type_symbol
_atom_site_fract_x
_atom_site_fract_y
_atom_site_fract_z
Tb1 Tb 0.0000 0.0000 0.0000
Sm1 Sm 0.2500 0.2500 0.2500
Ho1 Ho 0.0000 0.0000 0.5000
# * ρ: 7.88 g/cm3
# * energy relative to the elements: 133 meV per atom
# * DFT total energy: -4.5281 eV per atom
# * E above lowest polymorph: 0.121 eV/atom
# * total moment: 0.0 μB/f.u.


# HoMgCd4, relaxed, DFT PBE
data_HoMgCd4
_symmetry_space_group_name_H-M 'I -4 m 2'
_symmetry_Int_Tables_number 119
_symmetry_space_group_name_Hall 'I -4 -2'
_cell_length_a 3.9990
_cell_length_b 3.9990
_cell_length_c 19.3016
_cell_angle_alpha 90.00
_cell_angle_beta 90.00
_cell_angle_gamma 90.00
loop_
_atom_site_label
_atom_site_type_symbol
_atom_site_fract_x
_atom_site_fract_y
_atom_site_fract_z
Ho1 Ho 0.0000 0.0000 0.0000
Mg1 Mg 0.0000 0.5000 0.2500
Cd1 Cd 0.0000 0.0000 0.4234
Cd2 Cd 0.0000 0.5000 0.6774
# * ρ: 6.87 g/cm3
# * energy relative to the elements: -9 meV per atom
# * DFT total energy: -1.6475 eV per atom
# * E above lowest polymorph: 0.094 eV/atom
# * total moment: 0.0 μB/f.u.


# TaIn2Ag, relaxed, DFT PBE
data_TaIn2Ag
_symmetry_space_group_name_H-M 'I -4 2 d'
_symmetry_Int_Tables_number 122
_symmetry_space_group_name_Hall 'I -4 2bw'
_cell_length_a 7.5995
_cell_length_b 7.5995
_cell_length_c 6.0178
_cell_angle_alpha 90.00
_cell_angle_beta 90.00
_cell_angle_gamma 90.00
loop_
_atom_site_label
_atom_site_type_symbol
_atom_site_fract_x
_atom_site_fract_y
_atom_site_fract_z
Ta1 Ta 0.0000 0.0000 0.0000
In1 In 0.2333 0.7500 0.6250
Ag1 Ag 0.0000 0.0000 0.5000
# * ρ: 9.91 g/cm3
# * energy relative to the elements: 591 meV per atom
# * DFT total energy: -4.4543 eV per atom
# * E above lowest polymorph: 0.440 eV/atom
# * total moment: 0.0 μB/f.u.


- DFT total energy of number 2 (ErSb12Ru4)?
  -5.6303 eV per atom


- total moment of number 3 (EuB2Ir2)?
  6.9 μB/f.u.


- Among the records above, which one has the highest ρ?
  EuB2Ir2